Entry 1:
Rb2TiAgC PBE-GGA relaxed; SG = No. 123; size of the total moment = 4.1 μB per formula unit; energy of formation = 10.58 eV per formula unit; calculated volume = 233 Å³ per cell
1.0
6.743 0.000 0.000
0.000 6.743 0.000
0.000 0.000 5.129
Rb Ti Ag C
2 1 1 1
direct
0.000 0.500 0.000
0.500 0.000 0.000
0.000 0.000 0.000
0.000 0.000 0.500
0.500 0.500 0.500

=====

Entry 2:
Ba2TcClO4 PBE-GGA relaxed; formation energy (no corrections) = -2051 meV/atom; SG = No. 12; size of the total moment = 0.0 μB per formula unit; calculated volume = 328 Å³ per cell
1.0
10.303 0.000 0.000
0.000 3.541 0.000
-3.780 0.000 9.000
Ba Tc Cl O
4 2 2 8
direct
0.169 0.000 0.278
0.331 0.500 0.722
0.669 0.500 0.278
0.831 0.000 0.722
0.000 0.000 0.500
0.500 0.500 0.500
0.000 0.500 0.000
0.500 0.000 0.000
0.100 0.500 0.455
0.127 0.000 0.691
0.373 0.500 0.309
0.400 0.000 0.545
0.600 0.000 0.455
0.627 0.500 0.691
0.873 0.000 0.309
0.900 0.500 0.545

=====

Entry 3:
Ho3Er2Al2 PBE-GGA relaxed; E above lowest polymorph = 151 meV per atom; SG = No. 65; size of the total moment = 0.0 μB per formula unit; energy of formation = -0.37 eV per formula unit; calculated volume = 367 Å³ per cell
1.0
4.590 0.000 0.000
0.000 23.900 0.000
0.000 0.000 3.341
Ho Er Al
6 4 4
direct
0.000 0.000 0.000
0.000 0.134 0.000
0.000 0.866 0.000
0.500 0.366 0.000
0.500 0.500 0.000
0.500 0.634 0.000
0.000 0.292 0.500
0.000 0.708 0.500
0.500 0.208 0.500
0.500 0.792 0.500
0.000 0.433 0.500
0.000 0.567 0.500
0.500 0.067 0.500
0.500 0.933 0.500

=====

Entry 4:
CaTc2Se PBE-GGA relaxed; formation energy (no corrections) = 258 meV/atom; SG = No. 123; size of the total moment = 0.0 μB per formula unit; calculated volume = 72 Å³ per cell
1.0
3.796 0.000 0.000
0.000 3.796 0.000
0.000 0.000 4.986
Ca Tc Se
1 2 1
direct
0.000 0.000 0.000
0.000 0.500 0.500
0.500 0.000 0.500
0.500 0.500 0.000

=====

Entry 5:
HfAg3 PBE-GGA relaxed; E above lowest polymorph = 0 meV per atom; SG = No. 129; size of the total moment = 0.0 μB per formula unit; energy of formation = -0.06 eV per formula unit; calculated volume = 153 Å³ per cell
1.0
3.038 0.000 0.000
0.000 3.038 0.000
0.000 0.000 16.562
Hf Ag
2 6
direct
0.250 0.250 0.064
0.750 0.750 0.936
0.250 0.250 0.319
0.250 0.250 0.560
0.250 0.250 0.803
0.750 0.750 0.197
0.750 0.750 0.440
0.750 0.750 0.681

=====

Entry 6:
LiLa2In PBE-GGA relaxed; SG = No. 122; size of the total moment = 0.0 μB per formula unit; energy of formation = 0.65 eV per formula unit; calculated volume = 507 Å³ per cell
1.0
4.608 0.000 0.000
0.000 4.608 0.000
0.000 0.000 23.879
Li La In
4 8 4
direct
0.000 0.000 0.000
0.000 0.500 0.250
0.500 0.000 0.750
0.500 0.500 0.500
0.224 0.250 0.625
0.250 0.724 0.875
0.250 0.776 0.375
0.276 0.250 0.125
0.724 0.750 0.125
0.750 0.224 0.375
0.750 0.276 0.875
0.776 0.750 0.625
0.000 0.000 0.500
0.000 0.500 0.750
0.500 0.000 0.250
0.500 0.500 0.000

=====

Entry 7:
SiSe2F PBE-GGA relaxed; formation energy (no corrections) = -435 meV/atom; E above lowest polymorph = 0 meV per atom; SG = No. 166; size of the total moment = 0.0 μB per formula unit; calculated volume = 242 Å³ per cell
1.0
3.557 0.000 0.000
-1.779 3.081 0.000
0.000 0.000 22.045
Si Se F
3 6 3
direct
0.000 0.000 0.000
0.333 0.667 0.667
0.667 0.333 0.333
0.000 0.000 0.399
0.000 0.000 0.601
0.333 0.667 0.066
0.333 0.667 0.268
0.667 0.333 0.732
0.667 0.333 0.934
0.000 0.000 0.500
0.333 0.667 0.167
0.667 0.333 0.833

=====

Entry 8:
TbCeY3Ho PBE-GGA relaxed; SG = No. 63; size of the total moment = 1.1 μB per formula unit; energy of formation = 0.35 eV per formula unit; calculated volume = 382 Å³ per cell
1.0
2.518 -7.545 0.000
2.518 7.545 0.000
0.000 0.000 10.061
Tb Ce Y Ho
2 2 6 2
direct
0.000 0.000 0.000
0.000 0.000 0.500
0.499 0.501 0.750
0.501 0.499 0.250
0.167 0.833 0.750
0.336 0.664 0.501
0.336 0.664 0.999
0.664 0.336 0.001
0.664 0.336 0.499
0.833 0.167 0.250
0.166 0.834 0.250
0.834 0.166 0.750

=====

Entry 9:
Mg16Al12H PBE-GGA relaxed; E above lowest polymorph = 5 meV per atom; SG = No. 8; size of the total moment = 0.0 μB per formula unit; calculated volume = 579 Å³ per cell
1.0
5.252 -7.416 0.000
5.252 7.416 0.000
-5.183 0.000 7.434
Mg Al H
16 12 1
direct
0.000 0.000 0.000
0.138 0.868 0.298
0.142 0.543 0.619
0.233 0.233 0.591
0.233 0.826 0.988
0.252 0.960 0.720
0.523 0.523 0.282
0.540 0.859 0.895
0.543 0.142 0.619
0.546 0.546 0.645
0.549 0.892 0.305
0.826 0.233 0.988
0.859 0.540 0.895
0.868 0.138 0.298
0.892 0.549 0.305
0.960 0.252 0.720
0.178 0.553 0.121
0.185 0.370 0.309
0.353 0.738 0.491
0.361 0.547 0.937
0.370 0.185 0.309
0.547 0.361 0.937
0.553 0.178 0.121
0.713 0.902 0.660
0.726 0.726 0.119
0.738 0.353 0.491
0.902 0.713 0.660
0.905 0.905 0.480
0.904 0.904 0.136

=====

Entry 10:
RbBaHgPb PBE-GGA relaxed; SG = No. 216; size of the total moment = 0.4 μB per formula unit; energy of formation = -1.12 eV per formula unit; calculated volume = 640 Å³ per cell
1.0
8.617 0.000 0.000
0.000 8.617 0.000
0.000 0.000 8.617
Rb Ba Hg Pb
4 4 4 4
direct
0.000 0.000 0.000
0.000 0.500 0.500
0.500 0.000 0.500
0.500 0.500 0.000
0.000 0.000 0.500
0.000 0.500 0.000
0.500 0.000 0.000
0.500 0.500 0.500
0.250 0.250 0.250
0.250 0.750 0.750
0.750 0.250 0.750
0.750 0.750 0.250
0.250 0.250 0.750
0.250 0.750 0.250
0.750 0.250 0.250
0.750 0.750 0.750

=====

Entry 11:
Be2NbInPt PBE-GGA relaxed; E above lowest polymorph = 0 meV per atom; SG = No. 123; size of the total moment = 0.0 μB per formula unit; energy of formation = 6.40 eV per formula unit; calculated volume = 96 Å³ per cell
1.0
4.257 0.000 0.000
0.000 4.257 0.000
0.000 0.000 5.277
Be Nb In Pt
2 1 1 1
direct
0.000 0.500 0.000
0.500 0.000 0.000
0.000 0.000 0.500
0.000 0.000 0.000
0.500 0.500 0.500

=====

Entry 12:
ScPbBr2 PBE-GGA relaxed; formation energy (no corrections) = -755 meV/atom; E above lowest polymorph = 228 meV per atom; SG = No. 6; size of the total moment = 0.0 μB per formula unit; calculated volume = 111 Å³ per cell
1.0
3.678 0.000 0.000
0.000 5.265 0.000
-1.832 0.000 5.748
Sc Pb Br
1 1 2
direct
0.000 0.000 0.000
0.377 0.500 0.752
0.093 0.500 0.185
0.672 0.000 0.345

=====

- Among the records above, which one has the lowest calculated volume?
  CaTc2Se